# CdNi2B (PBE, relaxed)
data_CdNi2B
_chemical_formula_sum 'Cd1 Ni2 B1'
_space_group_name_H-M_alt 'P 4/m m m'
_space_group_IT_number 123
_space_group_name_Hall '-P 4 2'
_cell_length_a 2.624
_cell_length_b 2.624
_cell_length_c 6.699
_cell_angle_alpha 90.00
_cell_angle_beta 90.00
_cell_angle_gamma 90.00
loop_
_atom_site_label
_atom_site_type_symbol
_atom_site_fract_x
_atom_site_fract_y
_atom_site_fract_z
Cd1 Cd 0.000 0.000 0.000
Ni1 Ni 0.500 0.500 0.325
B1 B 0.000 0.000 0.500
# * ΔE to the lowest computed polymorph: 114 meV/atom
# * DFT formation energy: 18 meV/atom